# Dy4Y6Er | Alexandria | PBE | optimized geometry
data_Dy4Y6Er
_symmetry_space_group_name_H-M 'C m c m'
_symmetry_Int_Tables_number 63
_symmetry_space_group_name_Hall '-C 2c 2'
_cell_length_a 5.690
_cell_length_b 9.654
_cell_length_c 25.679
_cell_angle_alpha 90.00
_cell_angle_beta 90.00
_cell_angle_gamma 90.00
loop_
_atom_site_label
_atom_site_fract_x
_atom_site_fract_y
_atom_site_fract_z
Dy1 0.000 0.023 0.121
Dy2 0.000 0.341 0.042
Y1 0.000 0.000 0.000
Y2 0.000 0.016 0.250
Y3 0.000 0.315 0.605
Y4 0.000 0.352 0.182
Er1 0.000 0.318 0.750
# ρ: 6.4 g cm⁻³
# Polymorph energy (0 for the lowest one): 0 meV per atom